A plane-wave DFT calculation with PBE was carried out for an optimized crystal structure of Rh3PbC.

Its energy of formation from the pure elements is 2.831 eV per atom. As for the uncorrected energy: -4.166 eV per atom. The value obtained for the density of states at the Fermi level is 8.2 states/eV/cell. The value obtained for the total magnetic moment is 2.37 μB/cell. As for the relative energy among the computed polymorphs: 13.35 eV/f.u.

It has space group Pm-3m (No. 221), with a = 4.9998 Å, b = 4.9998 Å, c = 4.9998 Å, α = 90.00°, β = 90.00° and γ = 90.00°. The inequivalent atoms are Rh at (0.0000, 0.0000, 0.5000), Pb at (0.0000, 0.0000, 0.0000) and C at (0.5000, 0.5000, 0.5000).

A plane-wave DFT calculation with PBE was carried out for an optimized crystal structure of RhPbC2.

Its energy of formation from the pure elements is 1.208 eV per atom. As for the uncorrected energy: -6.169 eV per atom. The value obtained for the density of states at the Fermi level is 10.9 states/eV/cell. The value obtained for the total magnetic moment is 0.00 μB/cell.

It has space group I-42d (No. 122), with a = 5.2000 Å, b = 5.2000 Å, c = 9.6641 Å, α = 90.00°, β = 90.00° and γ = 90.00°. The inequivalent atoms are Rh at (0.0000, 0.0000, 0.0000), Pb at (0.0000, 0.0000, 0.5000) and C at (0.1644, 0.2500, 0.1250).

A plane-wave DFT calculation with PBE was carried out for an optimized crystal structure of RhPb3C.

Its energy of formation from the pure elements is 1.322 eV per atom. As for the uncorrected energy: -4.218 eV per atom. The value obtained for the density of states at the Fermi level is 2.6 states/eV/cell. The value obtained for the total magnetic moment is 1.18 μB/cell. As for the relative energy among the computed polymorphs: 0.92 eV/f.u.

It has space group Pm-3m (No. 221), with a = 5.2484 Å, b = 5.2484 Å, c = 5.2484 Å, α = 90.00°, β = 90.00° and γ = 90.00°. The inequivalent atoms are Rh at (0.0000, 0.0000, 0.0000), Pb at (0.0000, 0.0000, 0.5000) and C at (0.5000, 0.5000, 0.5000).

A plane-wave DFT calculation with PBE was carried out for an optimized crystal structure of Rh3PbC.

Its energy of formation from the pure elements is 0.161 eV per atom. As for the uncorrected energy: -6.836 eV per atom. The value obtained for the density of states at the Fermi level is 7.5 states/eV/cell. The value obtained for the total magnetic moment is 0.00 μB/cell. As for the relative energy among the computed polymorphs: 0.00 eV/f.u.

It has space group Pm-3m (No. 221), with a = 4.1903 Å, b = 4.1903 Å, c = 4.1903 Å, α = 90.00°, β = 90.00° and γ = 90.00°. The inequivalent atoms are Rh at (0.0000, 0.0000, 0.5000), Pb at (0.5000, 0.5000, 0.5000) and C at (0.0000, 0.0000, 0.0000).

A plane-wave DFT calculation with PBE was carried out for an optimized crystal structure of Ru2RhPbC.

Its energy of formation from the pure elements is 2.898 eV per atom. As for the uncorrected energy: -4.869 eV per atom. The value obtained for the density of states at the Fermi level is 10.3 states/eV/cell. The value obtained for the total magnetic moment is 5.74 μB/cell.

It has space group P4/mmm (No. 123), with a = 5.0987 Å, b = 5.0987 Å, c = 4.1782 Å, α = 90.00°, β = 90.00° and γ = 90.00°. The inequivalent atoms are Ru at (0.0000, 0.5000, 0.0000), Rh at (0.0000, 0.0000, 0.5000), Pb at (0.5000, 0.5000, 0.0000) and C at (0.5000, 0.5000, 0.5000).

A plane-wave DFT calculation with PBE was carried out for an optimized crystal structure of Sc2RhPbC.

Its energy of formation from the pure elements is -0.455 eV per atom. As for the uncorrected energy: -7.045 eV per atom. The value obtained for the density of states at the Fermi level is 4.1 states/eV/cell. The value obtained for the total magnetic moment is 0.00 μB/cell.

It has space group P4/mmm (No. 123), with a = 4.5711 Å, b = 4.5711 Å, c = 4.1507 Å, α = 90.00°, β = 90.00° and γ = 90.00°. The inequivalent atoms are Sc at (0.0000, 0.5000, 0.0000), Rh at (0.0000, 0.0000, 0.5000), Pb at (0.5000, 0.5000, 0.5000) and C at (0.0000, 0.0000, 0.0000).

A plane-wave DFT calculation with PBE was carried out for an optimized crystal structure of SrRhPbC2.

Its energy of formation from the pure elements is 1.403 eV per atom. As for the uncorrected energy: -4.835 eV per atom. The value obtained for the density of states at the Fermi level is 4.5 states/eV/cell. The value obtained for the total magnetic moment is 0.41 μB/cell.

It has space group P4/mmm (No. 123), with a = 4.2072 Å, b = 4.2072 Å, c = 5.6653 Å, α = 90.00°, β = 90.00° and γ = 90.00°. The inequivalent atoms are Sr at (0.0000, 0.0000, 0.0000), Rh at (0.5000, 0.5000, 0.5000), Pb at (0.5000, 0.5000, 0.0000) and C at (0.0000, 0.5000, 0.5000).

A plane-wave DFT calculation with PBE was carried out for an optimized crystal structure of Sr2RhPbC.

Its energy of formation from the pure elements is -0.149 eV per atom. As for the uncorrected energy: -4.878 eV per atom. The value obtained for the density of states at the Fermi level is 3.5 states/eV/cell. The value obtained for the total magnetic moment is 0.00 μB/cell.

It has space group P4/mmm (No. 123), with a = 5.6635 Å, b = 5.6635 Å, c = 3.9067 Å, α = 90.00°, β = 90.00° and γ = 90.00°. The inequivalent atoms are Sr at (0.0000, 0.5000, 0.0000), Rh at (0.0000, 0.0000, 0.5000), Pb at (0.5000, 0.5000, 0.5000) and C at (0.0000, 0.0000, 0.0000).

A plane-wave DFT calculation with PBE was carried out for an optimized crystal structure of YRh2PbC.

Its energy of formation from the pure elements is -0.077 eV per atom. As for the uncorrected energy: -6.897 eV per atom. The value obtained for the density of states at the Fermi level is 4.9 states/eV/cell. The value obtained for the total magnetic moment is 0.00 μB/cell.

It has space group P4/mmm (No. 123), with a = 4.2121 Å, b = 4.2121 Å, c = 4.9086 Å, α = 90.00°, β = 90.00° and γ = 90.00°. The inequivalent atoms are Y at (0.0000, 0.0000, 0.0000), Rh at (0.0000, 0.5000, 0.5000), Pb at (0.5000, 0.5000, 0.0000) and C at (0.0000, 0.0000, 0.5000).

A plane-wave DFT calculation with PBE was carried out for an optimized crystal structure of Y2RhPbC.

Its energy of formation from the pure elements is -0.446 eV per atom. As for the uncorrected energy: -7.088 eV per atom. The value obtained for the density of states at the Fermi level is 2.7 states/eV/cell. The value obtained for the total magnetic moment is 0.00 μB/cell.

It has space group P4/mmm (No. 123), with a = 5.0494 Å, b = 5.0494 Å, c = 4.0397 Å, α = 90.00°, β = 90.00° and γ = 90.00°. The inequivalent atoms are Y at (0.0000, 0.5000, 0.0000), Rh at (0.0000, 0.0000, 0.5000), Pb at (0.5000, 0.5000, 0.5000) and C at (0.0000, 0.0000, 0.0000).

A plane-wave DFT calculation with PBE was carried out for an optimized crystal structure of RuPb3C.

Its energy of formation from the pure elements is 1.435 eV per atom. As for the uncorrected energy: -4.490 eV per atom. The value obtained for the density of states at the Fermi level is 2.7 states/eV/cell. The value obtained for the total magnetic moment is 2.00 μB/cell. As for the relative energy among the computed polymorphs: 0.02 eV/f.u.

It has space group Pm-3m (No. 221), with a = 5.2239 Å, b = 5.2239 Å, c = 5.2239 Å, α = 90.00°, β = 90.00° and γ = 90.00°. The inequivalent atoms are Ru at (0.0000, 0.0000, 0.0000), Pb at (0.0000, 0.0000, 0.5000) and C at (0.5000, 0.5000, 0.5000).

A plane-wave DFT calculation with PBE was carried out for an optimized crystal structure of RuPb3C.

Its energy of formation from the pure elements is 1.431 eV per atom. As for the uncorrected energy: -4.494 eV per atom. The value obtained for the density of states at the Fermi level is 4.5 states/eV/cell. The value obtained for the total magnetic moment is 0.92 μB/cell. As for the relative energy among the computed polymorphs: 0.00 eV/f.u.

It has space group Pm-3m (No. 221), with a = 4.8513 Å, b = 4.8513 Å, c = 4.8513 Å, α = 90.00°, β = 90.00° and γ = 90.00°. The inequivalent atoms are Ru at (0.0000, 0.0000, 0.0000), Pb at (0.0000, 0.5000, 0.5000) and C at (0.5000, 0.5000, 0.5000).